Entry 1:
The following is a GGA-PBE calculation of a relaxed structure of LiAsPt2, from Alexandria via LeMat-Bulk.

The space group is Pm (No. 6) and the conventional cell measures 2.825, 4.274 and 5.284 Å, with angles of 90.00, 105.40 and 90.00 degrees. The asymmetric unit holds Li at (0.000, 0.000, 0.000), As at (0.380, 0.500, 0.762), Pt at (0.259, 0.000, 0.516) and Pt at (0.626, 0.500, 0.243).

The magnetization comes out at 0.000 μB per atom. For the formation energy, the calculation gives -0.4346 eV per atom. As for the energy: -5.0959 eV per atom.



Entry 2:
The following is a GGA-PBE calculation of a relaxed structure of KCu, from Alexandria via LeMat-Bulk.

The space group is Pm-3n (No. 223) and the conventional cell measures 9.188, 9.188 and 9.188 Å, with angles of 90.00, 90.00 and 90.00 degrees. The asymmetric unit holds K at (0.000, 0.250, 0.500) and Cu at (0.000, 0.500, 0.250).

The energy above the most stable polymorph in this dataset comes out at 421.4 meV/atom. The magnetization comes out at 0.097 μB per atom. For the formation energy, the calculation gives 0.6641 eV per atom. As for the energy: -1.9327 eV per atom.